{"formula": "Sr2CuBF", "functional": "PBE", "state": "relaxed", "m_tot_mub_per_cell": 0.00, "dft_energy_ev_per_cell": -17.59, "e_form_raw_ev_per_atom": -0.317, "crystal_system": "tetragonal", "space_group": "P4/mmm (123)", "lattice": [[5.105, 0.000, 0.000], [0.000, 5.105, 0.000], [0.000, 0.000, 4.079]], "species": ["Sr", "Sr", "Cu", "B", "F"], "frac_coords": [[0.000, 0.500, 0.000], [0.500, 0.000, 0.000], [0.000, 0.000, 0.500], [0.500, 0.500, 0.500], [0.500, 0.500, 0.000]]}


{"formula": "Mg2Cd8InHg", "functional": "PBE", "state": "relaxed", "m_tot_mub_per_cell": 0.00, "dft_energy_ev_per_cell": -12.93, "crystal_system": "trigonal", "formation_energy_ev_per_atom": 0.052, "space_group": "P-3m1 (164)", "lattice": [[6.192, 0.000, 0.000], [-3.096, 5.363, 0.000], [0.000, 0.000, 8.742]], "species": ["Mg", "Mg", "Cd", "Cd", "Cd", "Cd", "Cd", "Cd", "Cd", "Cd", "In", "Hg"], "frac_coords": [[0.333, 0.667, 0.434], [0.667, 0.333, 0.566], [0.178, 0.355, 0.753], [0.178, 0.822, 0.753], [0.333, 0.667, 0.078], [0.355, 0.178, 0.247], [0.645, 0.822, 0.753], [0.667, 0.333, 0.922], [0.822, 0.178, 0.247], [0.822, 0.645, 0.247], [0.000, 0.000, 0.500], [0.000, 0.000, 0.000]]}


{"formula": "TbPm2SmBi5", "functional": "PBE", "state": "relaxed", "m_tot_mub_per_cell": 0.00, "dft_energy_ev_per_cell": -38.54, "crystal_system": "tetragonal", "formation_energy_ev_per_atom": -0.032, "space_group": "P4/mmm (123)", "lattice": [[5.511, 0.000, 0.000], [0.000, 5.511, 0.000], [0.000, 0.000, 11.960]], "species": ["Tb", "Pm", "Pm", "Sm", "Bi", "Bi", "Bi", "Bi", "Bi"], "frac_coords": [[0.000, 0.000, 0.000], [0.500, 0.500, 0.274], [0.500, 0.500, 0.726], [0.000, 0.000, 0.500], [0.000, 0.000, 0.245], [0.000, 0.000, 0.755], [0.000, 0.500, 0.500], [0.500, 0.000, 0.500], [0.500, 0.500, 0.000]]}


{"formula": "Sc2PdPb", "functional": "PBE", "state": "relaxed", "m_tot_mub_per_cell": 0.00, "dft_energy_ev_per_cell": -21.70, "crystal_system": "trigonal", "formation_energy_ev_per_atom": -0.033, "space_group": "R-3m (166)", "lattice": [[1.611, 0.930, 10.204], [-1.611, 0.930, 10.204], [0.000, -1.861, 10.204]], "species": ["Sc", "Sc", "Pd", "Pb"], "frac_coords": [[0.081, 0.081, 0.081], [0.919, 0.919, 0.919], [0.000, 0.000, 0.000], [0.500, 0.500, 0.500]]}